(1)
Entry from Alexandria: a relaxed structure of Tm3MgNi (GGA-PBE).

The space group is P2_1/m (No. 11) and the conventional cell measures 8.384, 3.707 and 8.981 Å, with angles of 90.00, 115.18 and 90.00 degrees. The distinct sites, in fractional coordinates, are Tm at (0.013, 0.250, 0.172), Tm at (0.221, 0.750, 0.544), Tm at (0.368, 0.750, 0.222), Mg at (0.327, 0.250, 0.901) and Ni at (0.387, 0.250, 0.440).



(2)
Entry from Alexandria: a relaxed structure of Tm3MgNi (GGA-PBE).

The space group is Pm-3m (No. 221) and the conventional cell measures 5.184, 5.184 and 5.184 Å, with angles of 90.00, 90.00 and 90.00 degrees. The distinct sites, in fractional coordinates, are Tm at (0.000, 0.000, 0.500), Mg at (0.500, 0.500, 0.500) and Ni at (0.000, 0.000, 0.000).



(3)
Entry from Alexandria: a relaxed structure of TmMg2Ni9 (GGA-PBE).

The space group is R-3m (No. 166, hexagonal axes) and the conventional cell measures 4.8371, 4.8371 and 23.6047 Å, with angles of 90.00, 90.00 and 120.00 degrees. The distinct sites, in fractional coordinates, are Tm at (0.0000, 0.0000, 0.0000), Mg at (0.0000, 0.0000, 0.1435), Ni at (0.0000, 0.0000, 0.3336), Ni at (0.0000, 0.0000, 0.5000) and Ni at (0.0025, 0.5012, 0.9159).



(4)
Entry from Alexandria: a relaxed structure of Tm12MgNi6 (GGA-PBE).

The space group is Im-3 (No. 204) and the conventional cell measures 9.599, 9.599 and 9.599 Å, with angles of 90.00, 90.00 and 90.00 degrees. The distinct sites, in fractional coordinates, are Tm at (0.000, 0.304, 0.187), Mg at (0.000, 0.000, 0.000) and Ni at (0.000, 0.124, 0.500).



(5)
Entry from Alexandria: a relaxed structure of Tm4Mg5Ni2 (GGA-PBE).

The space group is P2/m (No. 10) and the conventional cell measures 7.869, 3.487 and 9.547 Å, with angles of 90.00, 94.00 and 90.00 degrees. The distinct sites, in fractional coordinates, are Tm at (0.166, 0.000, 0.337), Tm at (0.202, 0.000, 0.948), Mg at (0.178, 0.500, 0.647), Mg at (0.456, 0.500, 0.172), Mg at (0.500, 0.500, 0.500) and Ni at (0.063, 0.500, 0.135).



(6)
Entry from Alexandria: a relaxed structure of TmMg4Ni2 (GGA-PBE).

The space group is Cmmm (No. 65) and the conventional cell measures 4.028, 16.058 and 4.179 Å, with angles of 90.00, 90.00 and 90.00 degrees. The distinct sites, in fractional coordinates, are Tm at (0.000, 0.000, 0.000), Mg at (0.000, 0.173, 0.500), Mg at (0.000, 0.330, 0.000) and Ni at (0.000, 0.430, 0.500).



| no. | formation enthalpy at 0 K (eV per atom) |
| --- | --- |
| 1 | -0.1764 |
| 2 | -0.0679 |
| 3 | -0.2816 |
| 4 | -0.3211 |
| 5 | -0.2092 |
| 6 | -0.1373 |